No. 1
Computed, not measured: a crystal of TiZnAs2O7 relaxed with PBEsol at the SCAN level of DFT.

a b c (Å): 8.344 8.456 10.882
angles (deg): 90.00 126.54 90.00
Fractional coordinates of all 44 atoms:
Ti 0.142 0.012 0.293
Ti 0.142 0.488 0.793
Ti 0.858 0.512 0.207
Ti 0.858 0.988 0.707
Zn 0.345 0.131 0.880
Zn 0.345 0.369 0.380
Zn 0.655 0.631 0.620
Zn 0.655 0.869 0.120
As 0.004 0.209 0.534
As 0.004 0.291 0.034
As 0.429 0.720 0.263
As 0.429 0.780 0.763
As 0.571 0.220 0.237
As 0.571 0.280 0.737
As 0.996 0.709 0.966
As 0.996 0.791 0.466
O 0.020 0.611 0.391
O 0.020 0.889 0.891
O 0.054 0.079 0.688
O 0.054 0.421 0.188
O 0.269 0.649 0.076
O 0.269 0.851 0.576
O 0.279 0.161 0.421
O 0.279 0.339 0.921
O 0.290 0.635 0.769
O 0.290 0.865 0.269
O 0.366 0.221 0.720
O 0.366 0.279 0.220
O 0.481 0.578 0.394
O 0.481 0.922 0.894
O 0.519 0.078 0.106
O 0.519 0.422 0.606
O 0.634 0.721 0.780
O 0.634 0.779 0.280
O 0.710 0.135 0.731
O 0.710 0.365 0.231
O 0.721 0.661 0.079
O 0.721 0.839 0.579
O 0.731 0.149 0.424
O 0.731 0.351 0.924
O 0.946 0.579 0.812
O 0.946 0.921 0.312
O 0.980 0.111 0.109
O 0.980 0.389 0.609

- raw formation energy (eV per atom) = -1.8496
- volume (Å³ per atom) = 14.019
- space group = P2_1/c, No. 14

***

No. 2
Computed, not measured: a crystal of TlAsO4 relaxed with PBEsol at the SCAN level of DFT.

a b c (Å): 4.896 12.100 4.823
angles (deg): 90.00 90.00 90.00
Fractional coordinates of all 24 atoms:
Tl 0.000 0.168 0.250
Tl 0.000 0.832 0.750
Tl 0.500 0.332 0.750
Tl 0.500 0.668 0.250
As 0.000 0.432 0.250
As 0.000 0.568 0.750
As 0.500 0.068 0.750
As 0.500 0.932 0.250
O 0.210 0.457 0.563
O 0.210 0.543 0.063
O 0.220 0.326 0.117
O 0.220 0.674 0.617
O 0.280 0.174 0.617
O 0.280 0.826 0.117
O 0.290 0.043 0.063
O 0.290 0.957 0.563
O 0.710 0.043 0.437
O 0.710 0.957 0.937
O 0.720 0.174 0.883
O 0.720 0.826 0.383
O 0.780 0.326 0.383
O 0.780 0.674 0.883
O 0.790 0.457 0.937
O 0.790 0.543 0.437

- raw formation energy (eV per atom) = -1.1059
- volume (Å³ per atom) = 11.905
- space group = Pbcn, No. 60

***

No. 3
Computed, not measured: a crystal of Tl3AsO relaxed with PBEsol at the SCAN level of DFT.

a b c (Å): 4.890 4.890 4.890
angles (deg): 90.00 90.00 90.00
Fractional coordinates of all 5 atoms:
Tl 0.000 0.000 0.500
Tl 0.000 0.500 0.000
Tl 0.500 0.000 0.000
As 0.500 0.500 0.500
O 0.000 0.000 0.000

- raw formation energy (eV per atom) = 0.0402
- volume (Å³ per atom) = 23.385
- space group = Pm-3m, No. 221

***

No. 4
Computed, not measured: a crystal of TmAsO4 relaxed with PBEsol at the SCAN level of DFT.

a b c (Å): 6.570 6.859 7.954
angles (deg): 90.00 127.13 90.00
Fractional coordinates of all 24 atoms:
Tm 0.195 0.142 0.419
Tm 0.195 0.358 0.919
Tm 0.805 0.642 0.081
Tm 0.805 0.858 0.581
As 0.312 0.659 0.611
As 0.312 0.841 0.111
As 0.688 0.159 0.889
As 0.688 0.341 0.389
O 0.113 0.645 0.016
O 0.113 0.855 0.516
O 0.153 0.010 0.913
O 0.153 0.490 0.413
O 0.362 0.603 0.844
O 0.362 0.897 0.344
O 0.375 0.213 0.773
O 0.375 0.287 0.273
O 0.625 0.713 0.727
O 0.625 0.787 0.227
O 0.638 0.103 0.656
O 0.638 0.397 0.156
O 0.847 0.510 0.587
O 0.847 0.990 0.087
O 0.887 0.145 0.484
O 0.887 0.355 0.984

- raw formation energy (eV per atom) = -2.5777
- volume (Å³ per atom) = 11.905
- space group = P2_1/c, No. 14

***

No. 5
Computed, not measured: a crystal of TmAsO4 relaxed with PBEsol at the SCAN level of DFT.

a b c (Å): 5.834 5.834 5.834
angles (deg): 106.60 106.60 115.37
Fractional coordinates of all 12 atoms:
Tm 0.375 0.625 0.750
Tm 0.625 0.375 0.250
As 0.125 0.875 0.250
As 0.875 0.125 0.750
O 0.128 0.694 0.434
O 0.240 0.306 0.934
O 0.306 0.240 0.434
O 0.306 0.872 0.066
O 0.694 0.128 0.934
O 0.694 0.760 0.566
O 0.760 0.694 0.066
O 0.872 0.306 0.566

- raw formation energy (eV per atom) = -2.6554
- volume (Å³ per atom) = 12.636
- space group = I4_1/amd, No. 141

***

No. 6
Computed, not measured: a crystal of V3As2O9 relaxed with PBEsol at the SCAN level of DFT.

a b c (Å): 5.354 5.354 6.305
angles (deg): 102.03 102.03 73.10
Fractional coordinates of all 14 atoms:
V 0.000 0.000 0.000
V 0.412 0.412 0.210
V 0.588 0.588 0.790
As 0.182 0.182 0.676
As 0.818 0.818 0.324
O 0.116 0.730 0.195
O 0.209 0.209 0.187
O 0.270 0.884 0.805
O 0.372 0.372 0.874
O 0.500 0.500 0.500
O 0.628 0.628 0.126
O 0.730 0.116 0.195
O 0.791 0.791 0.813
O 0.884 0.270 0.805

- energy above the lowest structure with this stoichiometry (meV per atom) = 0
- raw formation energy (eV per atom) = -2.1698
- volume (Å³ per atom) = 11.931
- space group = C2/m, No. 12